(1)
{"formula": "Nb4Zn2C", "functional": "meta-GGA SCAN", "state": "PBEsol geometry", "ef_ev_per_atom": -0.281, "total_energy_ev_per_atom": -24.516, "sg": "Fd-3m", "lattice": [[0.0000, 5.9109, 5.9109], [5.9109, 0.0000, 5.9109], [5.9109, 5.9109, 0.0000]], "species": ["Nb", "Nb", "Nb", "Nb", "Nb", "Nb", "Nb", "Nb", "Nb", "Nb", "Nb", "Nb", "Nb", "Nb", "Nb", "Nb", "Zn", "Zn", "Zn", "Zn", "Zn", "Zn", "Zn", "Zn", "C", "C", "C", "C"], "frac_coords": [[0.0000, 0.0000, 0.0000], [0.0000, 0.0000, 0.5000], [0.0000, 0.5000, 0.0000], [0.1848, 0.1848, 0.5652], [0.1848, 0.5652, 0.1848], [0.1848, 0.5652, 0.5652], [0.4348, 0.4348, 0.8152], [0.4348, 0.8152, 0.4348], [0.4348, 0.8152, 0.8152], [0.5000, 0.0000, 0.0000], [0.5652, 0.1848, 0.1848], [0.5652, 0.1848, 0.5652], [0.5652, 0.5652, 0.1848], [0.8152, 0.4348, 0.4348], [0.8152, 0.4348, 0.8152], [0.8152, 0.8152, 0.4348], [0.1426, 0.7858, 0.7858], [0.2142, 0.2142, 0.2142], [0.2142, 0.2142, 0.8574], [0.2142, 0.8574, 0.2142], [0.7858, 0.1426, 0.7858], [0.7858, 0.7858, 0.1426], [0.7858, 0.7858, 0.7858], [0.8574, 0.2142, 0.2142], [0.0000, 0.5000, 0.5000], [0.5000, 0.0000, 0.5000], [0.5000, 0.5000, 0.0000], [0.5000, 0.5000, 0.5000]]}

(2)
{"formula": "Zr3NbC4", "functional": "meta-GGA SCAN", "state": "PBEsol geometry", "ef_ev_per_atom": -0.887, "total_energy_ev_per_atom": -21.590, "sg": "R-3m", "lattice": [[1.6318, 0.9421, 10.6703], [-1.6318, 0.9421, 10.6703], [0.0000, -1.8842, 10.6703]], "species": ["Zr", "Zr", "Zr", "Nb", "C", "C", "C", "C"], "frac_coords": [[0.0000, 0.0000, 0.0000], [0.2488, 0.2488, 0.2488], [0.7512, 0.7512, 0.7512], [0.5000, 0.5000, 0.5000], [0.1274, 0.1274, 0.1274], [0.3758, 0.3758, 0.3758], [0.6242, 0.6242, 0.6242], [0.8726, 0.8726, 0.8726]]}

(3)
{"formula": "NdC2", "functional": "meta-GGA SCAN", "state": "PBEsol geometry", "ef_ev_per_atom": -0.265, "total_energy_ev_per_atom": -21.526, "sg": "I4/mmm", "lattice": [[-1.8935, 1.8935, 3.2060], [1.8935, -1.8935, 3.2060], [1.8935, 1.8935, -3.2060]], "species": ["Nd", "C", "C"], "frac_coords": [[0.0000, 0.0000, 0.0000], [0.3988, 0.3988, 0.0000], [0.6012, 0.6012, 0.0000]]}